Material: ZrCd4As
Method: DFT, PBE
State: relaxed

Symmetry ... F-43m
DOS(E_F) ... 0.910 states/eV/atom
Energy relative to the elements ... 1.4 eV per formula unit
Calculated density ... 7.68 g/cm3

```
ZrCd4As
1.0
0.000 4.052 4.052
4.052 0.000 4.052
4.052 4.052 0.000
Cd As Zr
4 1 1
direct
0.375 0.375 0.375
0.375 0.375 0.874
0.874 0.375 0.375
0.375 0.874 0.375
0.000 0.000 0.000
0.750 0.750 0.750
```


Material: Zr2CdAs
Method: DFT, PBE
State: relaxed

Symmetry ... P4/mmm
DOS(E_F) ... 0.806 states/eV/atom
Energy relative to the elements ... -1.8 eV per formula unit
Calculated density ... 7.51 g/cm3
Excess energy over the best structure of this formula in the dataset ... 27 kJ/mol of formula units

```
Zr2CdAs
1.0
3.516 0.000 0.000
0.000 3.516 0.000
0.000 0.000 6.617
Zr As Cd
2 1 1
direct
0.000 0.000 0.476
0.000 0.000 0.024
0.500 0.500 0.250
0.500 0.500 0.750
```


Material: Zr2CdAs
Method: DFT, PBE
State: relaxed

Symmetry ... P4/mmm
DOS(E_F) ... 0.659 states/eV/atom
Energy relative to the elements ... -1.4 eV per formula unit
Calculated density ... 7.56 g/cm3
Excess energy over the best structure of this formula in the dataset ... 68 kJ/mol of formula units

```
Zr2CdAs
1.0
-0.205 -3.798 -1.308
3.087 0.913 -3.137
3.259 -1.164 2.869
As Cd Zr
1 1 2
direct
0.500 0.500 0.000
0.500 0.000 0.500
0.000 0.500 0.500
0.000 0.000 0.000
```


Material: ZrCdAs2
Method: DFT, PBE
State: relaxed

Symmetry ... P4mm
DOS(E_F) ... 0.221 states/eV/atom
Energy relative to the elements ... -0.2 eV per formula unit
Calculated density ... 6.43 g/cm3

```
ZrCdAs2
1.0
-0.086 -2.869 -0.786
2.453 -0.514 1.604
-5.831 -2.086 8.246
As Zr Cd
2 1 1
direct
0.000 0.000 0.945
0.500 0.500 0.303
0.500 0.500 0.742
0.000 0.000 0.510
```


Material: Zr2CdAs
Method: DFT, PBE
State: relaxed

Symmetry ... Cmm2
DOS(E_F) ... 1.216 states/eV/atom
Energy relative to the elements ... -0.8 eV per formula unit
Calculated density ... 7.01 g/cm3
Excess energy over the best structure of this formula in the dataset ... 124 kJ/mol of formula units

```
Zr2CdAs
1.0
-3.109 0.826 0.168
0.659 -1.458 2.796
2.238 7.714 3.497
Zr As Cd
2 1 1
direct
0.000 0.000 0.006
0.500 0.500 0.275
0.000 0.000 0.486
0.500 0.500 0.734
```


Material: ZrCdAs2
Method: DFT, PBE
State: relaxed

Symmetry ... I-4m2
DOS(E_F) ... 0.420 states/eV/atom
Energy relative to the elements ... -1.4 eV per formula unit
Calculated density ... 7.32 g/cm3

```
ZrCdAs2
1.0
-1.527 0.000 -5.614
3.570 -1.861 -4.201
-2.046 -1.664 5.186
As Zr Cd
2 1 1
direct
0.000 0.000 0.000
0.250 0.750 0.500
0.750 0.250 0.500
0.500 0.500 0.000
```


Material: ZrCdAs2
Method: DFT, PBE
State: relaxed

Symmetry ... Cmm2
DOS(E_F) ... 0.342 states/eV/atom
Energy relative to the elements ... -0.3 eV per formula unit
Calculated density ... 6.63 g/cm3

```
ZrCdAs2
1.0
3.002 0.016 0.000
-0.550 2.952 0.000
0.000 0.000 9.977
Cd Zr As
1 1 2
direct
0.000 0.000 0.506
0.500 0.500 0.751
0.000 0.000 0.955
0.500 0.500 0.289
```


Material: ZrCdAs2
Method: DFT, PBE
State: relaxed

Symmetry ... R-3m
DOS(E_F) ... 0.310 states/eV/atom
Energy relative to the elements ... -1.7 eV per formula unit
Calculated density ... 6.53 g/cm3

```
ZrCdAs2
1.0
-5.271 3.942 -2.602
-4.389 1.313 -5.394
-6.667 0.270 -2.359
As Zr Cd
2 1 1
direct
0.495 0.495 0.495
0.005 0.005 0.005
0.750 0.750 0.750
0.250 0.250 0.250
```


Material: ZrCd3As
Method: DFT, PBE
State: relaxed

Symmetry ... Pm-3m
DOS(E_F) ... 1.044 states/eV/atom
Energy relative to the elements ... 5.5 eV per formula unit
Calculated density ... 4.92 g/cm3
Excess energy over the best structure of this formula in the dataset ... 182 kJ/mol of formula units

```
ZrCd3As
1.0
-5.081 1.224 1.828
-1.486 -5.302 -0.582
1.622 -1.024 5.194
As Cd Zr
1 3 1
direct
0.500 0.500 0.500
0.500 0.000 0.000
0.000 0.000 0.500
0.000 0.500 0.000
0.000 0.000 0.000
```


Material: Zr2CdAs
Method: DFT, PBE
State: relaxed

Symmetry ... P2/m
DOS(E_F) ... 0.568 states/eV/atom
Energy relative to the elements ... -1.8 eV per formula unit
Calculated density ... 7.34 g/cm3
Excess energy over the best structure of this formula in the dataset ... 27 kJ/mol of formula units

```
Zr2CdAs
1.0
-0.127 -2.909 -2.188
1.876 -1.600 2.017
-4.567 -3.462 4.866
As Zr Cd
1 2 1
direct
0.500 0.250 0.250
0.000 0.062 0.024
0.000 0.438 0.476
0.500 0.750 0.750
```


Material: Zr2CdAs2
Method: DFT, PBE
State: relaxed

Symmetry ... P4/mbm
DOS(E_F) ... 0.498 states/eV/atom
Energy relative to the elements ... -3.2 eV per formula unit
Calculated density ... 7.10 g/cm3

```
Zr2CdAs2
1.0
-5.017 -2.871 5.037
5.547 -4.315 3.065
0.778 2.608 2.262
Zr As Cd
4 4 2
direct
0.857 0.643 0.000
0.643 0.143 0.000
0.143 0.357 0.000
0.357 0.857 0.000
0.150 0.650 0.500
0.350 0.150 0.500
0.650 0.850 0.500
0.850 0.350 0.500
0.000 0.000 0.000
0.500 0.500 0.000
```


Material: CeAs4
Method: DFT, PBE
State: relaxed

Symmetry ... Pm-3m
DOS(E_F) ... 1.471 states/eV/atom
Energy relative to the elements ... 3.8 eV per formula unit
Calculated density ... 4.55 g/cm3
Excess energy over the best structure of this formula in the dataset ... 533 kJ/mol of formula units

```
CeAs4
1.0
5.435 0.000 0.000
0.000 5.435 0.000
0.000 0.000 5.435
As Ce
4 1
direct
0.000 0.500 0.500
0.500 0.000 0.500
0.500 0.500 0.000
0.000 0.000 0.000
0.500 0.500 0.500
```


Material: CeAs4
Method: DFT, PBE
State: relaxed

Symmetry ... P2_1/c
DOS(E_F) ... 1.465 states/eV/atom
Energy relative to the elements ... -1.7 eV per formula unit
Calculated density ... 5.51 g/cm3
Excess energy over the best structure of this formula in the dataset ... 0 kJ/mol of formula units

```
CeAs4
1.0
-2.655 -2.960 2.782
0.582 -4.590 -4.329
7.074 -2.002 4.620
As Ce
8 2
direct
0.297 0.259 0.256
0.361 0.606 0.913
0.861 0.394 0.587
0.797 0.741 0.244
0.639 0.394 0.087
0.703 0.741 0.744
0.203 0.259 0.756
0.139 0.606 0.413
0.000 0.000 0.000
0.500 0.000 0.500
```


Material: CeAs5
Method: DFT, PBE
State: relaxed

Symmetry ... Cmmm
DOS(E_F) ... 0.871 states/eV/atom
Energy relative to the elements ... -1.9 eV per formula unit
Calculated density ... 6.83 g/cm3

```
CeAs5
1.0
-3.732 -0.110 -1.354
-1.116 -3.340 3.345
-1.086 6.374 2.476
As Ce
5 1
direct
0.500 0.208 0.415
0.000 0.352 0.703
0.500 0.500 0.000
0.500 0.792 0.585
0.000 0.648 0.297
0.000 0.000 0.000
```


Material: CeAs3
Method: DFT, PBE
State: relaxed

Symmetry ... Cmcm
DOS(E_F) ... 0.851 states/eV/atom
Energy relative to the elements ... -2.6 eV per formula unit
Calculated density ... 6.96 g/cm3

```
CeAs3
1.0
-4.051 -1.027 0.135
0.798 -3.423 -2.062
1.149 -3.236 9.841
As Ce
6 2
direct
0.250 0.310 0.621
0.250 0.190 0.379
0.750 0.810 0.621
0.250 0.948 0.897
0.750 0.052 0.103
0.750 0.690 0.379
0.750 0.417 0.833
0.250 0.583 0.167
```


| no. | calculated total energy (eV/atom) | V (Å³/atom) |
| --- | --- | --- |
| 1 | -2.58 | 22.18 |
| 2 | -6.13 | 20.45 |
| 3 | -6.02 | 20.32 |
| 4 | -4.75 | 22.83 |
| 5 | -5.87 | 21.90 |
| 6 | -5.04 | 20.04 |
| 7 | -4.77 | 22.13 |
| 8 | -5.12 | 22.47 |
| 9 | -2.09 | 33.96 |
| 10 | -6.13 | 20.91 |
| 11 | -6.10 | 20.80 |
| 12 | -4.14 | 32.11 |
| 13 | -5.24 | 26.50 |
| 14 | -5.18 | 20.84 |
| 15 | -5.61 | 21.77 |